Compound: ZnSiIN2
Source: Alexandria via LeMat-Bulk
Functional: meta-GGA SCAN
Structure: single point on PBEsol structure

Summary:
Its space-group type is P4/mmm, No. 123. For the formation energy without anion corrections, the calculation gives 639 meV/atom.

The structure in POSCAR format:
```
ZnSiIN2
1.0
3.585 0.000 0.000
0.000 3.585 0.000
0.000 0.000 6.266
Zn Si I N
1 1 1 2
Cartesian
0.000 0.000 0.000
1.792 1.792 3.133
1.792 1.792 0.000
0.000 1.792 3.133
1.792 0.000 3.133
```

***

Compound: TaMo6
Source: Alexandria via LeMat-Bulk
Functional: meta-GGA SCAN
Structure: single point on PBEsol structure

Summary:
Its space-group type is I4/mmm, No. 139. The calculation puts the energy above the most stable polymorph in this dataset at 0.0000 eV per atom. The value obtained for the calculated formation energy is -1.93 kcal/mol of atoms.

The structure in POSCAR format:
```
TaMo6
1.0
-1.571 1.571 11.048
1.571 -1.571 11.048
1.571 1.571 -11.048
Ta Mo
1 6
Cartesian
0.000 0.000 0.000
0.000 0.000 3.165
0.000 0.000 6.287
0.000 0.000 9.407
0.000 0.000 12.689
0.000 0.000 15.808
0.000 0.000 18.930
```

***

Compound: BaLi3Ti
Source: Alexandria via LeMat-Bulk
Functional: meta-GGA SCAN
Structure: single point on PBEsol structure

Summary:
Its space-group type is Pm-3m, No. 221. The value obtained for the calculated formation energy is 13.42 kcal/mol of atoms.

The structure in POSCAR format:
```
BaLi3Ti
1.0
5.352 0.000 0.000
0.000 5.352 0.000
0.000 0.000 5.352
Ba Li Ti
1 3 1
Cartesian
0.000 0.000 0.000
0.000 2.676 2.676
2.676 0.000 2.676
2.676 2.676 0.000
2.676 2.676 2.676
```

***

Compound: Y2InNi2
Source: Alexandria via LeMat-Bulk
Functional: meta-GGA SCAN
Structure: single point on PBEsol structure

Summary:
Its space-group type is P4/mbm, No. 127. The value obtained for the calculated formation energy is -12.81 kcal/mol of atoms.

The structure in POSCAR format:
```
Y2InNi2
1.0
7.283 0.000 0.000
0.000 7.283 0.000
0.000 0.000 3.615
Y In Ni
4 2 4
Cartesian
1.284 2.357 0.000
2.357 5.999 0.000
4.925 1.284 0.000
5.999 4.925 0.000
0.000 0.000 1.808
3.641 3.641 1.808
0.862 4.503 1.808
2.780 0.862 1.808
4.503 6.421 1.808
6.421 2.780 1.808
```

***

Compound: RbCu2H3Se2O10
Source: Alexandria via LeMat-Bulk
Functional: meta-GGA SCAN
Structure: single point on PBEsol structure

Summary:
The total DFT energy (no corrections) comes out at -182.15 eV/cell. Its space-group type is C2/m, No. 12.

The structure in POSCAR format:
```
RbCu2H3Se2O10
1.0
4.584 -3.248 0.000
4.584 3.248 0.000
-3.604 0.000 7.074
Rb Cu H Se O
1 2 3 2 10
Cartesian
0.000 0.000 0.000
0.490 1.624 3.537
0.490 -1.624 3.537
-1.802 0.000 3.537
-0.732 0.000 5.003
6.296 0.000 2.072
3.133 0.000 1.548
2.431 0.000 5.526
-0.663 0.000 4.012
1.562 1.386 5.108
-0.700 0.000 6.997
1.681 0.000 2.372
4.002 1.386 1.966
1.562 -1.386 5.108
3.883 0.000 4.702
6.264 0.000 0.077
4.002 -1.386 1.966
6.227 0.000 3.062
```

***

Compound: BeReHg
Source: Alexandria via LeMat-Bulk
Functional: meta-GGA SCAN
Structure: single point on PBEsol structure

Summary:
Its space-group type is Imm2, No. 44. The calculation puts the energy above the most stable polymorph in this dataset at 0.0000 eV per atom. The value obtained for the calculated formation energy is 13.27 kcal/mol of atoms.

The structure in POSCAR format:
```
BeReHg
1.0
-1.362 1.559 5.050
1.362 -1.559 5.050
1.362 1.559 -5.050
Be Re Hg
1 1 1
Cartesian
0.000 0.000 0.000
0.000 0.000 3.835
0.000 0.000 6.795
```

***

Compound: BeFe2Co
Source: Alexandria via LeMat-Bulk
Functional: meta-GGA SCAN
Structure: single point on PBEsol structure

Summary:
Its space-group type is Imm2, No. 44. The value obtained for the calculated formation energy is -2.85 kcal/mol of atoms.

The structure in POSCAR format:
```
BeFe2Co
1.0
-1.369 1.930 3.768
1.369 -1.930 3.768
1.369 1.930 -3.768
Be Fe Co
1 2 1
Cartesian
0.000 0.000 0.000
0.000 0.000 3.734
0.000 1.930 1.884
1.369 0.000 1.817
```

***

Compound: LiZn2Ag
Source: Alexandria via LeMat-Bulk
Functional: meta-GGA SCAN
Structure: single point on PBEsol structure

Summary:
Its space-group type is Cm, No. 8. The value obtained for the calculated formation energy is -3.02 kcal/mol of atoms.

The structure in POSCAR format:
```
LiZn2Ag
1.0
4.622 -1.433 0.000
4.622 1.433 0.000
-1.261 0.000 4.405
Li Zn Ag
1 2 1
Cartesian
0.000 0.000 0.000
1.334 0.000 3.191
4.020 0.000 2.237
6.714 0.000 1.009
```

***

Compound: Li2VSi3O9
Source: Alexandria via LeMat-Bulk
Functional: meta-GGA SCAN
Structure: single point on PBEsol structure

Summary:
Its space-group type is P2_12_12_1, No. 19. For the formation energy without anion corrections, the calculation gives -2762 meV/atom.

The structure in POSCAR format:
```
Li2VSi3O9
1.0
7.696 0.000 0.000
0.000 9.440 0.000
0.000 0.000 10.868
Li V Si O
8 4 12 36
Cartesian
0.437 1.666 0.922
1.069 8.210 10.544
2.779 1.230 5.110
3.411 7.774 6.356
4.285 3.054 9.947
4.917 5.950 0.324
6.627 3.490 5.758
7.259 6.386 4.512
1.651 8.905 2.436
2.197 0.534 7.870
5.499 5.254 8.432
6.045 4.185 2.998
0.274 3.000 8.275
0.581 8.743 5.379
0.806 5.969 1.781
3.042 3.471 7.215
3.267 0.696 10.813
3.574 6.440 2.841
4.122 1.720 2.593
4.429 5.416 5.489
4.654 8.191 9.087
6.890 1.249 3.653
7.115 4.024 0.055
7.422 7.720 8.027
0.218 2.971 9.939
0.229 0.699 2.531
0.437 5.269 0.342
0.640 1.436 7.890
0.757 7.556 1.432
0.876 7.967 3.989
1.072 8.337 8.664
1.540 3.881 7.707
1.861 0.262 0.623
1.987 9.177 6.057
2.308 5.558 2.273
2.776 1.102 3.230
2.972 1.473 9.423
3.091 1.883 6.866
3.208 8.003 2.456
3.411 4.170 5.776
3.619 8.741 7.965
3.630 6.469 4.505
4.066 1.749 0.929
4.077 4.021 8.337
4.285 8.890 10.527
4.488 3.284 2.978
4.605 6.603 9.436
4.724 6.193 6.879
4.920 5.822 2.204
5.388 0.838 3.162
5.709 4.457 10.245
5.835 4.982 4.811
6.156 8.601 8.596
6.624 3.617 7.638
6.820 3.247 1.445
6.939 2.836 4.002
7.056 6.156 8.412
7.259 0.550 5.092
7.467 5.419 2.903
7.478 7.691 6.363
```

***

Compound: ScCr2In
Source: Alexandria via LeMat-Bulk
Functional: meta-GGA SCAN
Structure: single point on PBEsol structure

Summary:
Its space-group type is F-43m, No. 216. The value obtained for the calculated formation energy is -5.05 kcal/mol of atoms.

The structure in POSCAR format:
```
ScCr2In
1.0
0.000 3.238 3.238
3.238 0.000 3.238
3.238 3.238 0.000
Sc Cr In
1 2 1
Cartesian
0.000 0.000 0.000
3.238 3.238 3.238
4.857 4.857 4.857
1.619 1.619 1.619
```

***

Compound: LiInI2N
Source: Alexandria via LeMat-Bulk
Functional: meta-GGA SCAN
Structure: single point on PBEsol structure

Summary:
Its space-group type is P4/mmm, No. 123. For the formation energy without anion corrections, the calculation gives 85 meV/atom.

The structure in POSCAR format:
```
LiInI2N
1.0
6.015 0.000 0.000
0.000 6.015 0.000
0.000 0.000 4.033
Li In I N
1 1 2 1
Cartesian
0.000 0.000 0.000
3.007 3.007 2.017
0.000 3.007 2.017
3.007 0.000 2.017
3.007 3.007 0.000
```

***

Compound: ZrScTl2
Source: Alexandria via LeMat-Bulk
Functional: meta-GGA SCAN
Structure: single point on PBEsol structure

Summary:
Its space-group type is C2/m, No. 12. The value obtained for the calculated formation energy is -4.64 kcal/mol of atoms.

The structure in POSCAR format:
```
ZrScTl2
1.0
4.877 -1.613 0.000
4.877 1.613 0.000
-0.898 0.000 5.857
Zr Sc Tl
1 1 2
Cartesian
0.000 0.000 0.000
4.427 0.000 2.929
1.758 0.000 4.390
7.097 0.000 1.468
```

***

| no. | magnetic moment (μB per formula unit) |
| --- | --- |
| 1 | 0.0 |
| 2 | 0.0 |
| 3 | 5.4 |
| 4 | 0.0 |
| 5 | 2.0 |
| 6 | 0.0 |
| 7 | 6.6 |
| 8 | 0.0 |
| 9 | 1.0 |
| 10 | 0.1 |
| 11 | 1.0 |
| 12 | 0.0 |